Record 1
A plane-wave DFT calculation with PBE-GGA was carried out for CuMo2Pb after structural relaxation.

Properties
energy relative to the elements = 0.611 eV/atom
space-group type = Pmmm, No. 47

```
4
Lattice="3.352 0.000 0.000 0.000 3.453 0.000 0.000 0.000 6.141" Properties=species:S:1:pos:R:3 pbc="T T T"
Cu 0.000 0.000 0.000
Mo 1.676 1.726 1.166
Mo 1.676 1.726 4.975
Pb 0.000 0.000 3.071
```

***

Record 2
A plane-wave DFT calculation with PBE-GGA was carried out for U3TcC3 after structural relaxation.

Properties
energy above the lowest structure with this stoichiometry = 0 meV per atom
energy relative to the elements = -0.180 eV/atom
space-group type = Cmcm, No. 63

```
14
Lattice="4.335 -4.682 0.000 4.335 4.682 0.000 0.000 0.000 5.057" Properties=species:S:1:pos:R:3 pbc="T T T"
U 4.335 3.379 3.793
U 2.513 1.243 3.793
U 2.513 -1.243 1.264
U 6.156 1.243 3.793
U 6.156 -1.243 1.264
U 4.335 -3.379 1.264
Tc 4.335 1.565 1.264
Tc 4.335 -1.565 3.793
C 4.335 3.628 1.264
C 2.342 1.065 1.264
C 2.342 -1.065 3.793
C 6.328 1.065 1.264
C 6.328 -1.065 3.793
C 4.335 -3.628 3.793
```

***

Record 3
A plane-wave DFT calculation with PBE-GGA was carried out for Pr2GaSi2Rh5 after structural relaxation.

Properties
space-group type = P4/mbm, No. 127
total DFT energy (no corrections) = -6.837 eV/atom

```
20
Lattice="9.950 0.000 0.000 0.000 9.950 0.000 0.000 0.000 3.492" Properties=species:S:1:pos:R:3 pbc="T T T"
Pr 1.758 3.218 0.000
Pr 3.218 8.193 0.000
Pr 6.733 1.758 0.000
Pr 8.193 6.733 0.000
Ga 0.000 0.000 0.000
Ga 4.975 4.975 0.000
Si 1.211 6.186 0.000
Si 3.764 1.211 0.000
Si 6.186 8.739 0.000
Si 8.739 3.764 0.000
Rh 0.000 4.975 1.746
Rh 0.665 7.813 1.746
Rh 2.138 0.665 1.746
Rh 2.838 5.641 1.746
Rh 4.310 2.838 1.746
Rh 4.975 0.000 1.746
Rh 5.641 7.113 1.746
Rh 7.113 4.310 1.746
Rh 7.813 9.285 1.746
Rh 9.285 2.138 1.746
```

***

Record 4
A plane-wave DFT calculation with PBE-GGA was carried out for AcPr2Hg8 after structural relaxation.

Properties
energy relative to the elements = -0.356 eV/atom
space-group type = Immm, No. 71

```
11
Lattice="-2.693 3.684 7.775 2.693 -3.684 7.775 2.693 3.684 -7.775" Properties=species:S:1:pos:R:3 pbc="T T T"
Ac 0.000 0.000 0.000
Pr 0.000 0.000 4.879
Pr 0.000 0.000 10.670
Hg 2.693 -1.576 5.336
Hg 2.693 0.000 2.448
Hg 2.693 2.151 0.000
Hg 0.000 2.108 2.439
Hg 2.693 1.576 5.336
Hg 0.000 1.533 7.775
Hg 0.000 3.684 5.327
Hg 0.000 5.261 2.439
```